[1]
4
Lattice="3.0385 0.0000 0.0000 0.0000 5.0450 0.0000 0.0000 0.0000 5.5489" Properties=species:S:1:pos:R:3 comment="Ta2PbBr | Alexandria | PBE | relaxed" dft_energy_ev_per_atom=-6.550 raw_formation_energy_ev_per_atom=0.722 dos_at_fermi_per_ev_atom=0.715 de_polymorph_ev_per_atom=0.606 pbc="T T T"
Ta 0.0000 0.0000 0.0000
Ta 1.5193 0.0000 2.7745
Pb 0.0000 2.5225 2.7745
Br 1.5193 2.5225 0.0000

[2]
8
Lattice="4.5971 0.0000 0.0000 0.0000 4.5971 0.0000 0.0000 0.0000 9.4733" Properties=species:S:1:pos:R:3 comment="TaPb2Br | Alexandria | PBE | relaxed" dft_energy_ev_per_atom=-4.523 raw_formation_energy_ev_per_atom=0.713 dos_at_fermi_per_ev_atom=0.945 de_polymorph_ev_per_atom=0.637 pbc="T T T"
Ta 0.0000 0.0000 0.0000
Ta 2.2986 2.2986 4.7367
Pb 0.0000 2.2986 2.3683
Pb 0.0000 2.2986 7.1050
Pb 2.2986 0.0000 2.3683
Pb 2.2986 0.0000 7.1050
Br 0.0000 0.0000 4.7367
Br 2.2986 2.2986 0.0000

[3]
16
Lattice="6.8259 0.0000 0.0000 0.0000 6.8259 0.0000 0.0000 0.0000 6.8259" Properties=species:S:1:pos:R:3 comment="Ta2PbBr | Alexandria | PBE | relaxed" dft_energy_ev_per_atom=-6.459 raw_formation_energy_ev_per_atom=0.813 dos_at_fermi_per_ev_atom=1.112 de_polymorph_ev_per_atom=0.697 pbc="T T T"
Ta 1.7065 1.7065 1.7065
Ta 1.7065 1.7065 5.1194
Ta 1.7065 5.1194 1.7065
Ta 1.7065 5.1194 5.1194
Ta 5.1194 1.7065 1.7065
Ta 5.1194 1.7065 5.1194
Ta 5.1194 5.1194 1.7065
Ta 5.1194 5.1194 5.1194
Pb 0.0000 0.0000 0.0000
Pb 0.0000 3.4130 3.4130
Pb 3.4130 0.0000 3.4130
Pb 3.4130 3.4130 0.0000
Br 0.0000 0.0000 3.4130
Br 0.0000 3.4130 0.0000
Br 3.4130 0.0000 0.0000
Br 3.4130 3.4130 3.4130

[4]
8
Lattice="3.0468 0.0000 0.0000 0.0000 5.5743 0.0000 0.0000 0.0000 9.9355" Properties=species:S:1:pos:R:3 comment="Ta2PbBr | Alexandria | PBE | relaxed" dft_energy_ev_per_atom=-6.546 raw_formation_energy_ev_per_atom=0.725 dos_at_fermi_per_ev_atom=1.317 de_polymorph_ev_per_atom=0.609 pbc="T T T"
Ta 0.0000 0.0000 2.3255
Ta 0.0000 0.0000 7.6099
Ta 1.5234 2.7871 2.6422
Ta 1.5234 2.7871 7.2933
Pb 0.0000 2.7871 0.0000
Pb 1.5234 0.0000 4.9677
Br 0.0000 2.7871 4.9677
Br 1.5234 0.0000 0.0000

[5]
4
Lattice="3.4654 0.0000 0.0000 0.0000 3.4654 0.0000 0.0000 0.0000 8.2447" Properties=species:S:1:pos:R:3 comment="Ta2PbBr | Alexandria | PBE | relaxed" dft_energy_ev_per_atom=-7.018 raw_formation_energy_ev_per_atom=0.253 dos_at_fermi_per_ev_atom=0.694 de_polymorph_ev_per_atom=0.137 pbc="T T T"
Ta 0.0000 0.0000 0.0000
Ta 1.7327 1.7327 1.2584
Pb 1.7327 1.7327 6.2623
Br 0.0000 0.0000 3.0926

[6]
16
Lattice="7.4315 0.0000 0.0000 0.0000 7.4315 0.0000 0.0000 0.0000 7.4315" Properties=species:S:1:pos:R:3 comment="TaPb2Br | Alexandria | PBE | relaxed" dft_energy_ev_per_atom=-4.524 raw_formation_energy_ev_per_atom=0.712 dos_at_fermi_per_ev_atom=0.421 de_polymorph_ev_per_atom=0.636 pbc="T T T"
Ta 0.0000 0.0000 0.0000
Ta 0.0000 3.7158 3.7158
Ta 3.7158 0.0000 3.7158
Ta 3.7158 3.7158 0.0000
Pb 0.0000 0.0000 3.7158
Pb 0.0000 3.7158 0.0000
Pb 1.8579 1.8579 5.5736
Pb 1.8579 5.5736 1.8579
Pb 3.7158 0.0000 0.0000
Pb 3.7158 3.7158 3.7158
Pb 5.5736 1.8579 1.8579
Pb 5.5736 5.5736 5.5736
Br 1.8579 1.8579 1.8579
Br 1.8579 5.5736 5.5736
Br 5.5736 1.8579 5.5736
Br 5.5736 5.5736 1.8579

[7]
4
Lattice="5.6237 0.0000 0.0000 0.0000 5.6237 0.0000 0.0000 0.0000 3.1838" Properties=species:S:1:pos:R:3 comment="TaPb2Br | Alexandria | PBE | relaxed" dft_energy_ev_per_atom=-4.803 raw_formation_energy_ev_per_atom=0.433 dos_at_fermi_per_ev_atom=0.574 de_polymorph_ev_per_atom=0.357 pbc="T T T"
Ta 0.0000 0.0000 0.0000
Pb 0.0000 2.8119 1.5919
Pb 2.8119 0.0000 1.5919
Br 2.8119 2.8119 0.0000

[8]
16
Lattice="4.2106 0.0000 0.0000 0.0000 4.2106 0.0000 0.0000 0.0000 20.3528" Properties=species:S:1:pos:R:3 comment="Ta2PbBr | Alexandria | PBE | relaxed" dft_energy_ev_per_atom=-6.307 raw_formation_energy_ev_per_atom=0.965 dos_at_fermi_per_ev_atom=1.171 de_polymorph_ev_per_atom=0.849 pbc="T T T"
Ta 1.0422 1.0526 2.5441
Ta 1.0526 3.1475 7.6323
Ta 1.0526 3.1684 17.8087
Ta 1.0631 1.0526 12.7205
Ta 3.1475 3.1579 12.7205
Ta 3.1579 1.0422 17.8087
Ta 3.1579 1.0631 7.6323
Ta 3.1684 3.1579 2.5441
Pb 0.0000 0.0000 10.1764
Pb 0.0000 2.1053 15.2646
Pb 2.1053 0.0000 5.0882
Pb 2.1053 2.1053 0.0000
Br 0.0000 0.0000 0.0000
Br 0.0000 2.1053 5.0882
Br 2.1053 0.0000 15.2646
Br 2.1053 2.1053 10.1764

[9]
16
Lattice="7.4871 0.0000 0.0000 0.0000 7.4871 0.0000 0.0000 0.0000 7.4871" Properties=species:S:1:pos:R:3 comment="TaPb2Br | Alexandria | PBE | relaxed" dft_energy_ev_per_atom=-4.358 raw_formation_energy_ev_per_atom=0.878 dos_at_fermi_per_ev_atom=1.466 de_polymorph_ev_per_atom=0.801 pbc="T T T"
Ta 0.0000 0.0000 0.0000
Ta 0.0000 3.7436 3.7436
Ta 3.7436 0.0000 3.7436
Ta 3.7436 3.7436 0.0000
Pb 1.8718 1.8718 1.8718
Pb 1.8718 1.8718 5.6154
Pb 1.8718 5.6154 1.8718
Pb 1.8718 5.6154 5.6154
Pb 5.6154 1.8718 1.8718
Pb 5.6154 1.8718 5.6154
Pb 5.6154 5.6154 1.8718
Pb 5.6154 5.6154 5.6154
Br 0.0000 0.0000 3.7436
Br 0.0000 3.7436 0.0000
Br 3.7436 0.0000 0.0000
Br 3.7436 3.7436 3.7436

[10]
8
Lattice="8.1393 0.0000 0.0000 0.0000 7.9837 0.0000 -0.5575 0.0000 3.1357" Properties=species:S:1:pos:R:3 comment="TaPb2Br | Alexandria | PBE | relaxed" dft_energy_ev_per_atom=-4.811 raw_formation_energy_ev_per_atom=0.424 dos_at_fermi_per_ev_atom=0.578 de_polymorph_ev_per_atom=0.348 pbc="T T T"
Ta 0.0000 0.0000 0.0000
Ta 4.0696 3.9919 0.0000
Pb 1.7561 1.9959 1.5678
Pb 1.7561 5.9878 1.5678
Pb 5.8257 1.9959 1.5678
Pb 5.8257 5.9878 1.5678
Br 0.0000 3.9919 0.0000
Br 4.0696 0.0000 0.0000

[11]
4
Lattice="3.2068 0.0000 0.0000 0.0000 5.4294 0.0000 -1.5997 0.0000 5.8337" Properties=species:S:1:pos:R:3 comment="TaPb2Br | Alexandria | PBE | relaxed" dft_energy_ev_per_atom=-4.840 raw_formation_energy_ev_per_atom=0.396 dos_at_fermi_per_ev_atom=0.535 de_polymorph_ev_per_atom=0.320 pbc="T T T"
Ta 0.0000 0.0000 0.0000
Pb 0.0159 2.7147 5.5937
Pb 1.6285 0.0000 2.7644
Br 0.0121 2.7147 2.6478

[12]
14
Lattice="8.5076 0.0000 0.0000 0.0000 4.3001 0.0000 -0.9480 0.0000 13.8833" Properties=species:S:1:pos:R:3 comment="TbPbBr5 | Alexandria | PBE | relaxed" dft_energy_ev_per_atom=-3.817 raw_formation_energy_ev_per_atom=-1.431 dos_at_fermi_per_ev_atom=0.000 pbc="T T T"
Tb 0.5828 1.0750 2.0431
Tb 6.9768 3.2251 11.8402
Pb 3.1207 3.2251 4.9961
Pb 4.4389 1.0750 8.8872
Br 0.1713 1.0750 11.0888
Br 0.8439 1.0750 4.9578
Br 1.4761 3.2251 0.2082
Br 2.4565 3.2251 7.9406
Br 3.3571 1.0750 2.4651
Br 4.2025 3.2251 11.4182
Br 5.1031 1.0750 5.9427
Br 6.0835 1.0750 13.6751
Br 6.7157 3.2251 8.9254
Br 7.3883 3.2251 2.7944